1.
A plane-wave DFT calculation with PBE-GGA was carried out for a relaxed structure of Ba3Cu4Rh2.

Cell: 9.3268 9.3268 7.7716 Å, 113.05 113.05 49.33°
Fractional positions:
Ba (0.0240, 0.9760, 0.7500)
Ba (0.3593, 0.3910, 0.2742)
Ba (0.3910, 0.3593, 0.7742)
Ba (0.6090, 0.6407, 0.2258)
Ba (0.6407, 0.6090, 0.7258)
Ba (0.9760, 0.0240, 0.2500)
Cu (0.0491, 0.3335, 0.1897)
Cu (0.0834, 0.3414, 0.8817)
Cu (0.3335, 0.0491, 0.6897)
Cu (0.3414, 0.0834, 0.3817)
Cu (0.6586, 0.9166, 0.6183)
Cu (0.6665, 0.9509, 0.3103)
Cu (0.9166, 0.6586, 0.1183)
Cu (0.9509, 0.6665, 0.8103)
Rh (0.0410, 0.3486, 0.5343)
Rh (0.3486, 0.0410, 0.0343)
Rh (0.6514, 0.9590, 0.9657)
Rh (0.9590, 0.6514, 0.4657)

Volume = 462.7 Å³ per cell
Calculated density = 6.26 g/cm³
Energy = -74.231 eV per cell
Energy of formation = -0.03 eV/atom


2.
A plane-wave DFT calculation with PBE-GGA was carried out for a relaxed structure of Ba2Cu2Rh.

Cell: 7.2927 7.2927 4.7244 Å, 90.00 90.00 90.00°
Fractional positions:
Ba (0.1907, 0.3093, 0.0000)
Ba (0.3093, 0.8093, 0.0000)
Ba (0.6907, 0.1907, 0.0000)
Ba (0.8093, 0.6907, 0.0000)
Cu (0.1217, 0.6217, 0.5000)
Cu (0.3783, 0.1217, 0.5000)
Cu (0.6217, 0.8783, 0.5000)
Cu (0.8783, 0.3783, 0.5000)
Rh (0.0000, 0.0000, 0.5000)
Rh (0.5000, 0.5000, 0.5000)

Volume = 251.3 Å³ per cell
Calculated density = 6.67 g/cm³
Energy = -37.467 eV per cell
Energy of formation = 0.13 eV/atom


3.
A plane-wave DFT calculation with PBE-GGA was carried out for a relaxed structure of BaCu2Rh.

Cell: 4.8194 4.1784 4.9114 Å, 90.00 93.77 90.00°
Fractional positions:
Ba (0.0000, 0.0000, 0.0000)
Cu (0.4641, 0.5000, 0.7018)
Cu (0.5116, 0.0000, 0.4631)
Rh (0.5194, 0.5000, 0.1973)

Volume = 98.7 Å³ per cell
Calculated density = 6.18 g/cm³
Energy = -16.951 eV per cell
Energy of formation = 0.13 eV/atom


4.
A plane-wave DFT calculation with PBE-GGA was carried out for a relaxed structure of BaCuRh3.

Cell: 4.7175 4.7175 4.7175 Å, 90.00 90.00 90.00°
Fractional positions:
Ba (0.0000, 0.0000, 0.0000)
Cu (0.5000, 0.5000, 0.5000)
Rh (0.0000, 0.5000, 0.5000)
Rh (0.5000, 0.0000, 0.5000)
Rh (0.5000, 0.5000, 0.0000)

Volume = 105.0 Å³ per cell
Calculated density = 8.06 g/cm³
Energy = -25.345 eV per cell
Energy of formation = 0.55 eV/atom


The evaluated DOS(E_F) for the records listed, in turn: 0.86; 0.69; 0.55; 1.23 states/eV/atom.